The following is a DFT calculation (PBE) of a relaxed structure of CdAsBr2.

The total magnetization comes out at 0.0 μB/f.u. The value obtained for the density is 5855 kg/m3. The calculation puts the uncorrected formation energy at 0.27 eV per atom. Its energy above the most stable polymorph in this dataset is 0.545 eV per atom.

The structure belongs to space group Cmmm (No. 65); the cell edges are 6.748, 7.962 and 3.665 Å and the angles 90.00°, 90.00° and 90.00°. The distinct sites, in fractional coordinates, are Cd at (0.000, 0.000, 0.000), As at (0.000, 0.500, 0.000) and Br at (0.250, 0.250, 0.500).

---

The following is a DFT calculation (PBE) of a relaxed structure of PmIn2Cu6.

The calculated formation energy comes out at 3 meV per atom. The total magnetization comes out at 0.0 μB/f.u. The value obtained for the density is 7839 kg/m3.

The structure belongs to space group Immm (No. 71); the cell edges are 3.742, 6.788 and 12.607 Å and the angles 90.00°, 90.00° and 90.00°. The distinct sites, in fractional coordinates, are Pm at (0.000, 0.000, 0.000), In at (0.000, 0.500, 0.136), Cu at (0.000, 0.177, 0.500) and Cu at (0.000, 0.310, 0.319).

---

The following is a DFT calculation (PBE) of a relaxed structure of SmGd2Se.

The total magnetization comes out at 15.5 μB/f.u. The value obtained for the density is 7067 kg/m3. The calculation puts the uncorrected formation energy at -0.60 eV per atom.

The structure belongs to space group R-3m (No. 166, hexagonal axes); the cell edges are 3.7606, 3.7606 and 31.3002 Å and the angles 90.00°, 90.00° and 120.00°. The distinct sites, in fractional coordinates, are Sm at (0.0000, 0.0000, 0.0000), Gd at (0.0000, 0.0000, 0.1084) and Se at (0.0000, 0.0000, 0.5000).

---

The following is a DFT calculation (PBE) of a relaxed structure of AcSiNi4.

The total magnetization comes out at 0.0 μB/f.u. The value obtained for the density is 8443 kg/m3. The calculation puts the uncorrected formation energy at -0.37 eV per atom.

The structure belongs to space group Pmma (No. 51); the cell edges are 6.960, 3.757 and 7.369 Å and the angles 90.00°, 90.00° and 90.00°. The distinct sites, in fractional coordinates, are Ac at (0.250, 0.000, 0.132), Si at (0.250, 0.000, 0.695), Ni at (0.000, 0.000, 0.500), Ni at (0.062, 0.500, 0.732) and Ni at (0.250, 0.500, 0.448).

---

The following is a DFT calculation (PBE) of a relaxed structure of MgTc2Se.

The total magnetization comes out at 0.4 μB/f.u. The value obtained for the density is 7655 kg/m3. The calculation puts the uncorrected formation energy at 0.29 eV per atom. Its energy above the most stable polymorph in this dataset is 0.289 eV per atom.

The structure belongs to space group R-3m (No. 166, hexagonal axes); the cell edges are 2.9924, 2.9924 and 25.1131 Å and the angles 90.00°, 90.00° and 120.00°. The distinct sites, in fractional coordinates, are Mg at (0.0000, 0.0000, 0.0000), Tc at (0.0000, 0.0000, 0.2405) and Se at (0.0000, 0.0000, 0.5000).

---

The following is a DFT calculation (PBE) of a relaxed structure of Ca2MnSeN.

The total magnetization comes out at 3.9 μB/f.u. The value obtained for the density is 3862 kg/m3. The calculation puts the uncorrected formation energy at -0.95 eV per atom.

The structure belongs to space group P4/mmm (No. 123); the cell edges are 5.040, 5.040 and 3.860 Å and the angles 90.00°, 90.00° and 90.00°. The distinct sites, in fractional coordinates, are Ca at (0.000, 0.500, 0.000), Mn at (0.000, 0.000, 0.500), Se at (0.500, 0.500, 0.500) and N at (0.000, 0.000, 0.000).

---

The following is a DFT calculation (PBE) of a relaxed structure of LiCuMoRh.

The calculated formation energy comes out at 95 meV per atom. The total magnetization comes out at 0.0 μB/f.u. The value obtained for the density is 8267 kg/m3.

The structure belongs to space group F-43m (No. 216); the cell edges are 6.004, 6.004 and 6.004 Å and the angles 90.00°, 90.00° and 90.00°. The distinct sites, in fractional coordinates, are Li at (0.000, 0.000, 0.000), Cu at (0.250, 0.250, 0.750), Mo at (0.250, 0.250, 0.250) and Rh at (0.000, 0.000, 0.500).

---

The following is a DFT calculation (PBE) of a relaxed structure of Na2HfSe2.

The total magnetization comes out at 0.0 μB/f.u. The value obtained for the density is 5601 kg/m3. The calculation puts the uncorrected formation energy at -0.80 eV per atom.

The structure belongs to space group P4/mbm (No. 127); the cell edges are 7.340, 7.340 and 4.209 Å and the angles 90.00°, 90.00° and 90.00°. The distinct sites, in fractional coordinates, are Na at (0.140, 0.360, 0.000), Hf at (0.000, 0.000, 0.500) and Se at (0.177, 0.677, 0.500).

---

The following is a DFT calculation (PBE) of a relaxed structure of CaCd2W.

The calculated formation energy comes out at 571 meV per atom. The total magnetization comes out at 0.0 μB/f.u. The value obtained for the density is 8761 kg/m3. Its energy above the most stable polymorph in this dataset is 0.159 eV per atom.

The structure belongs to space group R-3m (No. 166, hexagonal axes); the cell edges are 3.0809, 3.0809 and 31.0405 Å and the angles 90.00°, 90.00° and 120.00°. The distinct sites, in fractional coordinates, are Ca at (0.0000, 0.0000, 0.0000), Cd at (0.0000, 0.0000, 0.2438) and W at (0.0000, 0.0000, 0.5000).

---

The following is a DFT calculation (PBE) of a relaxed structure of NaCa3Rh.

The calculated formation energy comes out at 123 meV per atom. The total magnetization comes out at 0.0 μB/f.u. The value obtained for the density is 2037 kg/m3. Its energy above the most stable polymorph in this dataset is 0.327 eV per atom.

The structure belongs to space group P6_3/mmc (No. 194); the cell edges are 4.6854, 4.6854 and 21.1031 Å and the angles 90.00°, 90.00° and 120.00°. The distinct sites, in fractional coordinates, are Na at (0.0000, 0.0000, 0.0000), Ca at (0.0000, 0.0000, 0.2500), Ca at (0.3333, 0.6667, 0.1230) and Rh at (0.3333, 0.6667, 0.2500).

---

The following is a DFT calculation (PBE) of a relaxed structure of ErLuBeIr.

The calculated formation energy comes out at -480 meV per atom. The total magnetization comes out at 0.0 μB/f.u. The value obtained for the density is 11787 kg/m3.

The structure belongs to space group F-43m (No. 216); the cell edges are 6.740, 6.740 and 6.740 Å and the angles 90.00°, 90.00° and 90.00°. The distinct sites, in fractional coordinates, are Er at (0.000, 0.000, 0.000), Lu at (0.000, 0.000, 0.500), Be at (0.250, 0.250, 0.750) and Ir at (0.250, 0.250, 0.250).

---

The following is a DFT calculation (PBE) of a relaxed structure of KCdIr.

The calculated formation energy comes out at 1542 meV per atom. The total magnetization comes out at 0.6 μB/f.u. The value obtained for the density is 6584 kg/m3. Its energy above the most stable polymorph in this dataset is 1.161 eV per atom.

The structure belongs to space group F-43m (No. 216); the cell edges are 7.026, 7.026 and 7.026 Å and the angles 90.00°, 90.00° and 90.00°. The distinct sites, in fractional coordinates, are K at (0.000, 0.000, 0.000), Cd at (0.250, 0.250, 0.750) and Ir at (0.250, 0.250, 0.250).